Entry 1:
Pr4SmDy3Se8: relaxed, PBE-GGA.

Results
* crystal system: trigonal
* symmetry: No. 166
* raw formation energy: -2787 kJ/mol of formula units
* density: 7.34 g/cm³
* size of the total moment: 0.0 μB/f.u.

Cell lengths 8.456, 8.456, 8.456 Å; angles 58.67, 58.67, 58.67 degrees
Sites, in units of the cell vectors:
Pr 0.000 0.000 0.000
Pr 0.000 0.500 0.500
Pr 0.500 0.000 0.500
Pr 0.500 0.500 0.000
Sm 0.500 0.500 0.500
Dy 0.000 0.000 0.500
Dy 0.000 0.500 0.000
Dy 0.500 0.000 0.000
Se 0.240 0.747 0.747
Se 0.244 0.244 0.244
Se 0.253 0.253 0.760
Se 0.253 0.760 0.253
Se 0.747 0.240 0.747
Se 0.747 0.747 0.240
Se 0.756 0.756 0.756
Se 0.760 0.253 0.253

Entry 2:
CaAl6Rh3: relaxed, PBE-GGA.

Results
* crystal system: monoclinic
* symmetry: No. 14
* DFT formation energy: -634.2 kJ/mol of formula units
* density: 5.09 g/cm³
* size of the total moment: 0.0 μB/f.u.

Cell lengths 6.852, 6.694, 8.337 Å; angles 90.00, 119.32, 90.00 degrees
Sites, in units of the cell vectors:
Ca 0.000 0.000 0.000
Ca 0.000 0.500 0.500
Al 0.135 0.041 0.685
Al 0.135 0.459 0.185
Al 0.284 0.689 0.877
Al 0.284 0.811 0.377
Al 0.455 0.176 0.259
Al 0.455 0.324 0.759
Al 0.545 0.676 0.241
Al 0.545 0.824 0.741
Al 0.716 0.189 0.623
Al 0.716 0.311 0.123
Al 0.865 0.541 0.815
Al 0.865 0.959 0.315
Rh 0.231 0.155 0.431
Rh 0.231 0.345 0.931
Rh 0.500 0.000 0.000
Rh 0.500 0.500 0.500
Rh 0.769 0.655 0.069
Rh 0.769 0.845 0.569